# 1
A relaxed structure of V2GaSe. Source: Alexandria, functional PBE-GGA.

Volume   259 Å³ per cell
Uncorrected formation energy   220.7 meV per atom
Energy relative to the lowest polymorph listed for this composition   0.66 eV per formula unit

Unit cell a=6.7901 b=6.7901 c=5.6268 alpha=90.00 beta=90.00 gamma=90.00
Closest atoms and distances in Å follow each position.
Space group I-42d (No. 122)
Symmetry-distinct sites (fractional):
1 V 0.2232 0.2500 0.1250  2 Se 2.38, 2 Ga 2.63
2 Ga 0.0000 0.0000 0.5000  4 V 2.63, 2 Se 2.81
3 Se 0.0000 0.0000 0.0000  4 V 2.38

***

# 2
A relaxed structure of VGa2Se4. Source: Alexandria, functional PBE-GGA.

Volume   363 Å³ per cell
Uncorrected formation energy   -416.2 meV per atom

Unit cell a=7.4791 b=7.4791 c=6.4859 alpha=90.00 beta=90.00 gamma=90.00
Closest atoms and distances in Å follow each position.
Space group I4/m (No. 87)
Symmetry-distinct sites (fractional):
1 V 0.0000 0.0000 0.0000  4 Se 2.60
2 Ga 0.0000 0.5000 0.2500  4 Se 2.47
3 Se 0.1593 0.6913 0.0000  2 Ga 2.47, 1 V 2.60

***

# 3
A relaxed structure of V2GaSe. Source: Alexandria, functional PBE-GGA.

Volume   233 Å³ per cell
Uncorrected formation energy   55.1 meV per atom
Energy relative to the lowest polymorph listed for this composition   0.00 eV per formula unit

Unit cell a=6.1567 b=6.1567 c=6.1567 alpha=90.00 beta=90.00 gamma=90.00
Closest atoms and distances in Å follow each position.
Space group Fm-3m (No. 225)
Symmetry-distinct sites (fractional):
1 V 0.2500 0.2500 0.2500  4 Se 2.67, 4 Ga 2.67
2 Ga 0.0000 0.0000 0.0000  8 V 2.67
3 Se 0.0000 0.0000 0.5000  8 V 2.67